[1]
VASP calculation (PBE) on an optimized crystal structure of YThZrSc.

Density ... 6.90 g/cm3
Energy of formation from the pure elements ... 0.1156 eV/atom
Fermi-level density of states ... 6.509 states/eV/f.u.

Lattice parameters (Å, degrees): 5.3787 5.3787 5.3787 60.00 60.00 60.00
With the nearest neighbours (Å) after each atom.
Atoms (fractional coordinates):
Y  0.7500  0.7500  0.7500  4 Zr 3.29, 4 Sc 3.29
Sc  0.0000  0.0000  0.0000  4 Y 3.29, 4 Th 3.29
Zr  0.5000  0.5000  0.5000  4 Th 3.29, 4 Y 3.29
Th  0.2500  0.2500  0.2500  4 Zr 3.29, 4 Sc 3.29


[2]
VASP calculation (PBE) on an optimized crystal structure of Tb2PrGa.

Density ... 7.14 g/cm3
Energy of formation from the pure elements ... -0.0745 eV/atom
Fermi-level density of states ... 4.702 states/eV/f.u.

Lattice parameters (Å, degrees): 4.9576 4.9576 6.4355 67.41 67.41 60.18
With the nearest neighbours (Å) after each atom.
Atoms (fractional coordinates):
Tb  0.0475  0.0475  0.8574  3 Ga 2.90
Tb  0.2751  0.2751  0.1739  3 Ga 3.16-3.17, 3 Tb 3.39-3.40, 3 Pr 3.52-3.53
Pr  0.4909  0.4909  0.5296  4 Ga 3.41-3.72, 7 Tb 3.43-3.72
Ga  0.6865  0.6865  0.9391  6 Tb 2.90-3.17


[3]
VASP calculation (PBE) on an optimized crystal structure of DyPuGePd.

Density ... 10.81 g/cm3
Energy of formation from the pure elements ... -0.5655 eV/atom
Fermi-level density of states ... 10.135 states/eV/f.u.

Lattice parameters (Å, degrees): 5.0290 5.0290 5.0290 60.00 60.00 60.00
With the nearest neighbours (Å) after each atom.
Atoms (fractional coordinates):
Ge  0.0000  0.0000  0.0000  4 Pu 3.08, 4 Dy 3.08
Dy  0.2500  0.2500  0.2500  4 Ge 3.08, 4 Pd 3.08
Pd  0.5000  0.5000  0.5000  4 Pu 3.08, 4 Dy 3.08
Pu  0.7500  0.7500  0.7500  4 Pd 3.08, 4 Ge 3.08


[4]
VASP calculation (PBE) on an optimized crystal structure of LiTcPdRh.

Density ... 9.19 g/cm3
Energy of formation from the pure elements ... 0.0870 eV/atom
Fermi-level density of states ... 5.117 states/eV/f.u.

Lattice parameters (Å, degrees): 4.3145 4.3145 4.3145 60.00 60.00 60.00
With the nearest neighbours (Å) after each atom.
Atoms (fractional coordinates):
Rh  0.5000  0.5000  0.5000  4 Li 2.64, 4 Tc 2.64
Tc  0.2500  0.2500  0.2500  4 Rh 2.64, 4 Pd 2.64
Pd  0.0000  0.0000  0.0000  4 Tc 2.64, 4 Li 2.64
Li  0.7500  0.7500  0.7500  4 Rh 2.64, 4 Pd 2.64